Computed, not measured: a geometry-optimized Tm12Th5Ge3 structure at the PBE level of DFT.

Space-group type: Ia-3d, No. 230

Unit cell a=15.5086 b=15.5086 c=15.5086 alpha=109.47 beta=109.47 gamma=109.47
Closest atoms and distances in Å follow each position.
Element x y z (fractional)
Tm (0.0507, 0.6351, 0.3945)  1 Ge 2.81, 1 Tm 3.10, 1 Th 3.12
Tm (0.0507, 0.9156, 0.6562)  1 Ge 2.81, 1 Tm 3.10, 1 Th 3.12
Tm (0.0844, 0.2406, 0.1351)  1 Ge 2.81, 1 Tm 3.10, 1 Th 3.12
Tm (0.0844, 0.3438, 0.9493)  1 Ge 2.81, 1 Tm 3.10, 1 Th 3.12
Tm (0.1055, 0.7406, 0.6562)  1 Ge 2.81, 1 Tm 3.10, 1 Th 3.12
Tm (0.1055, 0.8649, 0.4493)  1 Ge 2.81, 1 Tm 3.10, 1 Th 3.12
Tm (0.1351, 0.0844, 0.2406)  1 Ge 2.81, 1 Tm 3.10, 1 Th 3.12
Tm (0.1351, 0.5507, 0.8945)  1 Ge 2.81, 1 Tm 3.10, 1 Th 3.12
Tm (0.1562, 0.2406, 0.6055)  1 Ge 2.81, 1 Tm 3.10, 1 Th 3.12
Tm (0.1562, 0.4156, 0.5507)  1 Ge 2.81, 1 Tm 3.10, 1 Th 3.12
Tm (0.2406, 0.1351, 0.0844)  1 Ge 2.81, 1 Tm 3.10, 1 Th 3.12
Tm (0.2406, 0.6055, 0.1562)  1 Ge 2.81, 1 Tm 3.10, 1 Th 3.12
Tm (0.2594, 0.3438, 0.8945)  1 Ge 2.81, 1 Tm 3.10, 1 Th 3.12
Tm (0.2594, 0.4156, 0.3649)  1 Ge 2.81, 1 Tm 3.10, 1 Th 3.12
Tm (0.3438, 0.8945, 0.2594)  1 Ge 2.81, 1 Tm 3.10, 1 Th 3.12
Tm (0.3438, 0.9493, 0.0844)  1 Ge 2.81, 1 Tm 3.10, 1 Th 3.12
Tm (0.3649, 0.2594, 0.4156)  1 Ge 2.81, 1 Tm 3.10, 1 Th 3.12
Tm (0.3649, 0.6055, 0.9493)  1 Ge 2.81, 1 Tm 3.10, 1 Th 3.12
Tm (0.3945, 0.0507, 0.6351)  1 Ge 2.81, 1 Tm 3.10, 1 Th 3.12
Tm (0.3945, 0.8438, 0.7594)  1 Ge 2.81, 1 Tm 3.10, 1 Th 3.12
Tm (0.4156, 0.3649, 0.2594)  1 Ge 2.81, 1 Tm 3.10, 1 Th 3.12
Tm (0.4156, 0.5507, 0.1562)  1 Ge 2.81, 1 Tm 3.10, 1 Th 3.12
Tm (0.4493, 0.1055, 0.8649)  1 Ge 2.81, 1 Tm 3.10, 1 Th 3.12
Tm (0.4493, 0.8438, 0.5844)  1 Ge 2.81, 1 Tm 3.10, 1 Th 3.12
Tm (0.5507, 0.1562, 0.4156)  1 Ge 2.81, 1 Tm 3.10, 1 Th 3.12
Tm (0.5507, 0.8945, 0.1351)  1 Ge 2.81, 1 Tm 3.10, 1 Th 3.12
Tm (0.5844, 0.4493, 0.8438)  1 Ge 2.81, 1 Tm 3.10, 1 Th 3.12
Tm (0.5844, 0.6351, 0.7406)  1 Ge 2.81, 1 Tm 3.10, 1 Th 3.12
Tm (0.6055, 0.1562, 0.2406)  1 Ge 2.81, 1 Tm 3.10, 1 Th 3.12
Tm (0.6055, 0.9493, 0.3649)  1 Ge 2.81, 1 Tm 3.10, 1 Th 3.12
Tm (0.6351, 0.3945, 0.0507)  1 Ge 2.81, 1 Tm 3.10, 1 Th 3.12
Tm (0.6351, 0.7406, 0.5844)  1 Ge 2.81, 1 Tm 3.10, 1 Th 3.12
Tm (0.6562, 0.0507, 0.9156)  1 Ge 2.81, 1 Tm 3.10, 1 Th 3.12
Tm (0.6562, 0.1055, 0.7406)  1 Ge 2.81, 1 Tm 3.10, 1 Th 3.12
Tm (0.7406, 0.5844, 0.6351)  1 Ge 2.81, 1 Tm 3.10, 1 Th 3.12
Tm (0.7406, 0.6562, 0.1055)  1 Ge 2.81, 1 Tm 3.10, 1 Th 3.12
Tm (0.7594, 0.3945, 0.8438)  1 Ge 2.81, 1 Tm 3.10, 1 Th 3.12
Tm (0.7594, 0.8649, 0.9156)  1 Ge 2.81, 1 Tm 3.10, 1 Th 3.12
Tm (0.8438, 0.5844, 0.4493)  1 Ge 2.81, 1 Tm 3.10, 1 Th 3.12
Tm (0.8438, 0.7594, 0.3945)  1 Ge 2.81, 1 Tm 3.10, 1 Th 3.12
Tm (0.8649, 0.4493, 0.1055)  1 Ge 2.81, 1 Tm 3.10, 1 Th 3.12
Tm (0.8649, 0.9156, 0.7594)  1 Ge 2.81, 1 Tm 3.10, 1 Th 3.12
Tm (0.8945, 0.1351, 0.5507)  1 Ge 2.81, 1 Tm 3.10, 1 Th 3.12
Tm (0.8945, 0.2594, 0.3438)  1 Ge 2.81, 1 Tm 3.10, 1 Th 3.12
Tm (0.9156, 0.6562, 0.0507)  1 Ge 2.81, 1 Tm 3.10, 1 Th 3.12
Tm (0.9156, 0.7594, 0.8649)  1 Ge 2.81, 1 Tm 3.10, 1 Th 3.12
Tm (0.9493, 0.0844, 0.3438)  1 Ge 2.81, 1 Tm 3.10, 1 Th 3.12
Tm (0.9493, 0.3649, 0.6055)  1 Ge 2.81, 1 Tm 3.10, 1 Th 3.12
Th (0.0000, 0.0000, 0.0000)  6 Tm 3.12
Th (0.0000, 0.0000, 0.5000)  6 Tm 3.12
Th (0.0000, 0.5000, 0.0000)  6 Tm 3.12
Th (0.0000, 0.5000, 0.5000)  6 Tm 3.12
Th (0.1250, 0.7500, 0.8750)  4 Tm 3.25
Th (0.1250, 0.8750, 0.2500)  4 Tm 3.25
Th (0.2500, 0.1250, 0.8750)  4 Tm 3.25
Th (0.2500, 0.6250, 0.3750)  4 Tm 3.25
Th (0.3750, 0.2500, 0.6250)  4 Tm 3.25
Th (0.3750, 0.6250, 0.7500)  4 Tm 3.25
Th (0.5000, 0.0000, 0.0000)  6 Tm 3.12
Th (0.5000, 0.0000, 0.5000)  6 Tm 3.12
Th (0.5000, 0.5000, 0.0000)  6 Tm 3.12
Th (0.5000, 0.5000, 0.5000)  6 Tm 3.12
Th (0.6250, 0.3750, 0.2500)  4 Tm 3.25
Th (0.6250, 0.7500, 0.3750)  4 Tm 3.25
Th (0.7500, 0.3750, 0.6250)  4 Tm 3.25
Th (0.7500, 0.8750, 0.1250)  4 Tm 3.25
Th (0.8750, 0.1250, 0.7500)  4 Tm 3.25
Th (0.8750, 0.2500, 0.1250)  4 Tm 3.25
Ge (0.1250, 0.2500, 0.3750)  4 Tm 2.81
Ge (0.1250, 0.3750, 0.7500)  4 Tm 2.81
Ge (0.2500, 0.3750, 0.1250)  4 Tm 2.81
Ge (0.2500, 0.8750, 0.6250)  4 Tm 2.81
Ge (0.3750, 0.1250, 0.2500)  4 Tm 2.81
Ge (0.3750, 0.7500, 0.1250)  4 Tm 2.81
Ge (0.6250, 0.2500, 0.8750)  4 Tm 2.81
Ge (0.6250, 0.8750, 0.7500)  4 Tm 2.81
Ge (0.7500, 0.1250, 0.3750)  4 Tm 2.81
Ge (0.7500, 0.6250, 0.8750)  4 Tm 2.81
Ge (0.8750, 0.6250, 0.2500)  4 Tm 2.81
Ge (0.8750, 0.7500, 0.6250)  4 Tm 2.81

---

Computed, not measured: a geometry-optimized TmTh3Ge4 structure at the PBE level of DFT.

Space-group type: P2/c, No. 13

Unit cell a=7.3585 b=8.4769 c=7.4032 alpha=90.00 beta=109.38 gamma=90.00
Closest atoms and distances in Å follow each position.
Element x y z (fractional)
Tm (0.0000, 0.1250, 0.2500)  6 Ge 2.96-2.97
Tm (0.0000, 0.8750, 0.7500)  6 Ge 2.96-2.97
Th (0.0000, 0.3725, 0.7500)  6 Ge 2.99-3.02
Th (0.0000, 0.6275, 0.2500)  6 Ge 2.99-3.02
Th (0.5000, 0.1238, 0.7500)  6 Ge 3.00-3.05
Th (0.5000, 0.3726, 0.2500)  6 Ge 3.01-3.06
Th (0.5000, 0.6274, 0.7500)  6 Ge 3.01-3.06
Th (0.5000, 0.8762, 0.2500)  6 Ge 3.00-3.05
Ge (0.2429, 0.1208, 0.9995)  2 Tm 2.96-2.97, 4 Th 2.99-3.05
Ge (0.2429, 0.8792, 0.4995)  2 Tm 2.96-2.97, 4 Th 2.99-3.05
Ge (0.2467, 0.3726, 0.4967)  1 Tm 2.97, 5 Th 3.01-3.06
Ge (0.2467, 0.6274, 0.9967)  1 Tm 2.97, 5 Th 3.01-3.06
Ge (0.7533, 0.3726, 0.0033)  1 Tm 2.97, 5 Th 3.01-3.06
Ge (0.7533, 0.6274, 0.5033)  1 Tm 2.97, 5 Th 3.01-3.06
Ge (0.7571, 0.1208, 0.5005)  2 Tm 2.96-2.97, 4 Th 2.99-3.05
Ge (0.7571, 0.8792, 0.0005)  2 Tm 2.96-2.97, 4 Th 2.99-3.05

---

Across the entries above, Fermi-level density of states takes the values 30.142; 4.915 states/eV/f.u., respectively.
Across the entries above, formation enthalpy at 0 K takes the values 0.869; -0.732 eV/atom, respectively.